# 1
# SmHoSn2 (PBE, relaxed)
data_SmHoSn2
_chemical_formula_sum 'Sm1 Ho1 Sn2'
_space_group_name_H-M_alt 'P 4/m m m'
_space_group_IT_number 123
_space_group_name_Hall '-P 4 2'
_cell_length_a 3.4873
_cell_length_b 3.4873
_cell_length_c 8.8791
_cell_angle_alpha 90.00
_cell_angle_beta 90.00
_cell_angle_gamma 90.00
loop_
_atom_site_label
_atom_site_type_symbol
_atom_site_fract_x
_atom_site_fract_y
_atom_site_fract_z
Sm1 Sm 0.0000 0.0000 0.0000
Ho1 Ho 0.0000 0.0000 0.5000
Sn1 Sn 0.5000 0.5000 0.2559
# * energy of formation from the pure elements: -2.55 eV/f.u.

# 2
# SmHoSn2 (PBE, relaxed)
data_SmHoSn2
_chemical_formula_sum 'Sm3 Ho3 Sn6'
_space_group_name_H-M_alt 'R -3 m'
_space_group_IT_number 166
_space_group_name_Hall '-R 3 2"'
_cell_length_a 3.9958
_cell_length_b 3.9958
_cell_length_c 25.9251
_cell_angle_alpha 90.00
_cell_angle_beta 90.00
_cell_angle_gamma 120.00
loop_
_atom_site_label
_atom_site_type_symbol
_atom_site_fract_x
_atom_site_fract_y
_atom_site_fract_z
Sm1 Sm 0.0000 0.0000 0.0000
Ho1 Ho 0.0000 0.0000 0.5000
Sn1 Sn 0.0000 0.0000 0.2483
# * energy of formation from the pure elements: -2.10 eV/f.u.

Copy entry 2 word for word.
# SmHoSn2 (PBE, relaxed)
data_SmHoSn2
_chemical_formula_sum 'Sm3 Ho3 Sn6'
_space_group_name_H-M_alt 'R -3 m'
_space_group_IT_number 166
_space_group_name_Hall '-R 3 2"'
_cell_length_a 3.9958
_cell_length_b 3.9958
_cell_length_c 25.9251
_cell_angle_alpha 90.00
_cell_angle_beta 90.00
_cell_angle_gamma 120.00
loop_
_atom_site_label
_atom_site_type_symbol
_atom_site_fract_x
_atom_site_fract_y
_atom_site_fract_z
Sm1 Sm 0.0000 0.0000 0.0000
Ho1 Ho 0.0000 0.0000 0.5000
Sn1 Sn 0.0000 0.0000 0.2483
# * energy of formation from the pure elements: -2.10 eV/f.u.

Copy entry 2 word for word.
# SmHoSn2 (PBE, relaxed)
data_SmHoSn2
_chemical_formula_sum 'Sm3 Ho3 Sn6'
_space_group_name_H-M_alt 'R -3 m'
_space_group_IT_number 166
_space_group_name_Hall '-R 3 2"'
_cell_length_a 3.9958
_cell_length_b 3.9958
_cell_length_c 25.9251
_cell_angle_alpha 90.00
_cell_angle_beta 90.00
_cell_angle_gamma 120.00
loop_
_atom_site_label
_atom_site_type_symbol
_atom_site_fract_x
_atom_site_fract_y
_atom_site_fract_z
Sm1 Sm 0.0000 0.0000 0.0000
Ho1 Ho 0.0000 0.0000 0.5000
Sn1 Sn 0.0000 0.0000 0.2483
# * energy of formation from the pure elements: -2.10 eV/f.u.

Repeat the first record exactly.
# SmHoSn2 (PBE, relaxed)
data_SmHoSn2
_chemical_formula_sum 'Sm1 Ho1 Sn2'
_space_group_name_H-M_alt 'P 4/m m m'
_space_group_IT_number 123
_space_group_name_Hall '-P 4 2'
_cell_length_a 3.4873
_cell_length_b 3.4873
_cell_length_c 8.8791
_cell_angle_alpha 90.00
_cell_angle_beta 90.00
_cell_angle_gamma 90.00
loop_
_atom_site_label
_atom_site_type_symbol
_atom_site_fract_x
_atom_site_fract_y
_atom_site_fract_z
Sm1 Sm 0.0000 0.0000 0.0000
Ho1 Ho 0.0000 0.0000 0.5000
Sn1 Sn 0.5000 0.5000 0.2559
# * energy of formation from the pure elements: -2.55 eV/f.u.

Copy entry 2 word for word.
# SmHoSn2 (PBE, relaxed)
data_SmHoSn2
_chemical_formula_sum 'Sm3 Ho3 Sn6'
_space_group_name_H-M_alt 'R -3 m'
_space_group_IT_number 166
_space_group_name_Hall '-R 3 2"'
_cell_length_a 3.9958
_cell_length_b 3.9958
_cell_length_c 25.9251
_cell_angle_alpha 90.00
_cell_angle_beta 90.00
_cell_angle_gamma 120.00
loop_
_atom_site_label
_atom_site_type_symbol
_atom_site_fract_x
_atom_site_fract_y
_atom_site_fract_z
Sm1 Sm 0.0000 0.0000 0.0000
Ho1 Ho 0.0000 0.0000 0.5000
Sn1 Sn 0.0000 0.0000 0.2483
# * energy of formation from the pure elements: -2.10 eV/f.u.